The following is a PBE calculation of a relaxed structure of Ba2BePtI, from Alexandria.

Results
Size of the total moment: 0.00 Bohr magnetons per cell
E_form (uncorrected): -355.5 kJ/mol of formula units
N(E_F): 3.8 states/eV/f.u.

Structure (extended XYZ):
```
5
Lattice="6.233 0.000 0.000 0.000 6.233 0.000 0.000 0.000 4.424" Properties=species:S:1:pos:R:3 pbc="T T T"
I 3.116 3.116 2.212
Be 0.000 0.000 2.212
Ba 0.000 3.116 0.000
Ba 3.116 0.000 0.000
Pt 0.000 0.000 0.000
```